Entry from OQMD: Zr3Al3NiIr2 after structural relaxation (GGA-PBE).

Unit cell a=7.1005 b=7.1005 c=3.5181 alpha=90.00 beta=90.00 gamma=120.00
Fractional coordinates of all 9 atoms:
1 Al 0.2466 0.0000 0.5000
2 Al 0.0000 0.2466 0.5000
3 Al 0.7534 0.7534 0.5000
4 Ir 0.6667 0.3333 0.5000
5 Ir 0.3333 0.6667 0.5000
6 Ni 0.0000 0.0000 0.0000
7 Zr 0.5961 0.0000 0.0000
8 Zr 0.4039 0.4039 0.0000
9 Zr 0.0000 0.5961 0.0000

Computed properties:
- total magnetic moment (μB per formula unit) = 0.00
- final energy (eV/cell) = -67.6



Entry from OQMD: Er2TmZn3Ir2Au after structural relaxation (GGA-PBE).

Unit cell a=3.8023 b=7.2484 c=7.2484 alpha=119.95 beta=90.00 gamma=90.00
Fractional coordinates of all 9 atoms:
1 Au 0.0000 0.0008 0.0008
2 Er 0.0000 0.5901 0.0000
3 Er 0.0000 0.0000 0.5901
4 Ir 0.5000 0.6657 0.3336
5 Ir 0.5000 0.3336 0.6657
6 Tm 0.0000 0.4096 0.4096
7 Zn 0.5000 0.2660 0.0002
8 Zn 0.5000 0.0002 0.2660
9 Zn 0.5000 0.7340 0.7340

Computed properties:
- DFT formation energy (meV per atom) = -723
- total magnetic moment (μB per formula unit) = 0.01



Entry from OQMD: AlZnTe2 after structural relaxation (GGA-PBE).

Unit cell a=5.1763 b=5.1763 c=5.1763 alpha=60.00 beta=60.00 gamma=60.00
Fractional coordinates of all 4 atoms:
1 Al 0.7500 0.7500 0.7500
2 Te 0.0000 0.0000 0.0000
3 Te 0.2500 0.2500 0.2500
4 Zn 0.5000 0.5000 0.5000

Computed properties:
- final energy (eV/cell) = -10.0



Entry from OQMD: Cd2TcAg after structural relaxation (GGA-PBE).

Unit cell a=4.7119 b=4.7119 c=4.7119 alpha=60.00 beta=60.00 gamma=60.00
Fractional coordinates of all 4 atoms:
1 Ag 0.7500 0.7500 0.7500
2 Cd 0.2500 0.2500 0.2500
3 Cd 0.5000 0.5000 0.5000
4 Tc 0.0000 0.0000 0.0000

Computed properties:
- DFT formation energy (meV per atom) = 473
- total magnetic moment (μB per formula unit) = 2.24



Copy entry 1 word for word.
Entry from OQMD: Zr3Al3NiIr2 after structural relaxation (GGA-PBE).

Unit cell a=7.1005 b=7.1005 c=3.5181 alpha=90.00 beta=90.00 gamma=120.00
Fractional coordinates of all 9 atoms:
1 Al 0.2466 0.0000 0.5000
2 Al 0.0000 0.2466 0.5000
3 Al 0.7534 0.7534 0.5000
4 Ir 0.6667 0.3333 0.5000
5 Ir 0.3333 0.6667 0.5000
6 Ni 0.0000 0.0000 0.0000
7 Zr 0.5961 0.0000 0.0000
8 Zr 0.4039 0.4039 0.0000
9 Zr 0.0000 0.5961 0.0000

Computed properties:
- total magnetic moment (μB per formula unit) = 0.00
- final energy (eV/cell) = -67.6



Please write out number 1 again, unchanged.
Entry from OQMD: Zr3Al3NiIr2 after structural relaxation (GGA-PBE).

Unit cell a=7.1005 b=7.1005 c=3.5181 alpha=90.00 beta=90.00 gamma=120.00
Fractional coordinates of all 9 atoms:
1 Al 0.2466 0.0000 0.5000
2 Al 0.0000 0.2466 0.5000
3 Al 0.7534 0.7534 0.5000
4 Ir 0.6667 0.3333 0.5000
5 Ir 0.3333 0.6667 0.5000
6 Ni 0.0000 0.0000 0.0000
7 Zr 0.5961 0.0000 0.0000
8 Zr 0.4039 0.4039 0.0000
9 Zr 0.0000 0.5961 0.0000

Computed properties:
- total magnetic moment (μB per formula unit) = 0.00
- final energy (eV/cell) = -67.6